Material: Mg2CdAs
Method: DFT, GGA-PBE
State: optimized geometry

a b c (Å): 7.916 7.916 6.352
angles (deg): 51.46 51.46 90.00
Positions (direct):
As 0.500 0.500 0.000
As 0.250 0.750 0.500
Mg 0.575 0.125 0.250
Mg 0.175 0.625 0.250
Mg 0.375 0.425 0.750
Mg 0.875 0.825 0.750
Cd 0.000 0.000 0.000
Cd 0.750 0.250 0.500

- energy above the lowest structure with this stoichiometry (eV/atom) = 0.164
- calculated total energy (eV per atom) = -2.255
- formation enthalpy at 0 K (kJ/mol of formula units) = -26
- size of the total moment (μB/atom) = 0.0000

Material: Tb3TmTh2As6
Method: DFT, GGA-PBE
State: optimized geometry

a b c (Å): 4.178 8.324 9.320
angles (deg): 102.89 102.95 90.00
Positions (direct):
Tb 0.500 0.500 0.000
Tb 0.833 0.166 0.667
Tb 0.167 0.834 0.333
Tm 0.500 0.000 0.000
Th 0.835 0.670 0.671
Th 0.165 0.330 0.329
As 0.335 0.923 0.670
As 0.666 0.587 0.331
As 0.665 0.077 0.330
As 0.998 0.246 0.996
As 0.002 0.754 0.004
As 0.334 0.413 0.669

- calculated total energy (eV per atom) = -6.584
- formation enthalpy at 0 K (kJ/mol of formula units) = -1728
- size of the total moment (μB/atom) = 0.0000

Material: La2H2W
Method: DFT, GGA-PBE
State: optimized geometry

a b c (Å): 3.583 3.583 7.653
angles (deg): 76.46 76.46 90.00
Last column: magnetic moment on the atom in μB.
Positions (direct):
H 0.750 0.250 0.500  0.01
H 0.250 0.750 0.500  0.01
W 0.000 0.000 0.000  1.14
La 0.363 0.363 0.274  0.08
La 0.637 0.637 0.726  0.08

- calculated total energy (eV per atom) = -5.736
- size of the total moment (μB/atom) = 0.3588

Material: LaHoPd3
Method: DFT, GGA-PBE
State: optimized geometry

a b c (Å): 5.778 9.284 8.460
angles (deg): 101.69 90.00 90.00
Positions (direct):
La 0.910 0.618 0.224
La 0.090 0.382 0.776
La 0.410 0.382 0.276
La 0.590 0.618 0.724
Ho 0.274 0.943 0.620
Ho 0.726 0.057 0.380
Ho 0.774 0.057 0.880
Ho 0.226 0.943 0.120
Pd 0.205 0.153 0.422
Pd 0.795 0.847 0.578
Pd 0.705 0.847 0.078
Pd 0.295 0.153 0.922
Pd 0.457 0.759 0.341
Pd 0.543 0.241 0.659
Pd 0.957 0.241 0.159
Pd 0.043 0.759 0.841
Pd 0.158 0.618 0.533
Pd 0.842 0.382 0.467
Pd 0.658 0.382 0.967
Pd 0.342 0.618 0.033

- calculated total energy (eV per atom) = -5.849
- formation enthalpy at 0 K (kJ/mol of formula units) = -401
- size of the total moment (μB/atom) = 0.0000

Material: Cs2Li2CaI6
Method: DFT, GGA-PBE
State: optimized geometry

a b c (Å): 8.697 8.551 9.178
angles (deg): 112.97 90.00 120.57
Positions (direct):
Cs 0.710 0.420 0.178
Cs 0.290 0.580 0.822
Li 0.936 0.872 0.728
Li 0.064 0.128 0.272
Ca 0.500 0.000 0.500
I 0.736 0.472 0.615
I 0.212 0.910 0.219
I 0.301 0.090 0.781
I 0.788 0.090 0.781
I 0.699 0.910 0.219
I 0.264 0.528 0.385

- calculated total energy (eV per atom) = -2.945
- size of the total moment (μB/atom) = 0.0000

Material: Ti2Cu2B
Method: DFT, GGA-PBE
State: optimized geometry

a b c (Å): 3.150 3.150 7.377
angles (deg): 77.67 77.67 90.00
Last column: magnetic moment on the atom in μB.
Positions (direct):
B 0.000 0.000 0.000  -0.04
Cu 0.750 0.250 0.500  0.00
Cu 0.250 0.750 0.500  0.00
Ti 0.416 0.416 0.167  0.46
Ti 0.584 0.584 0.833  0.46

- energy above the lowest structure with this stoichiometry (eV/atom) = 0.000
- calculated total energy (eV per atom) = -5.788
- formation enthalpy at 0 K (kJ/mol of formula units) = 166
- size of the total moment (μB/atom) = 0.1906

Material: AcTmCo
Method: DFT, GGA-PBE
State: optimized geometry

a b c (Å): 3.516 3.516 6.988
angles (deg): 104.57 104.57 90.00
Last column: magnetic moment on the atom in μB.
Positions (direct):
Ac 0.032 0.032 0.064  -0.02
Tm 0.288 0.288 0.577  -0.08
Co 0.679 0.679 0.359  0.89

- calculated total energy (eV per atom) = -5.192
- formation enthalpy at 0 K (kJ/mol of formula units) = 11
- size of the total moment (μB/atom) = 0.2624

Material: Dy3TlFe3
Method: DFT, GGA-PBE
State: optimized geometry

a b c (Å): 3.941 9.612 9.612
angles (deg): 120.00 90.00 90.00
Last column: magnetic moment on the atom in μB.
Positions (direct):
Dy 0.750 0.386 0.315  -0.14
Dy 0.750 0.929 0.614  -0.14
Dy 0.750 0.685 0.071  -0.14
Dy 0.250 0.614 0.685  -0.14
Dy 0.250 0.071 0.386  -0.14
Dy 0.250 0.315 0.929  -0.14
Tl 0.750 0.333 0.667  0.01
Tl 0.250 0.667 0.333  0.01
Fe 0.750 0.020 0.154  1.84
Fe 0.750 0.134 0.980  1.84
Fe 0.750 0.846 0.866  1.84
Fe 0.250 0.980 0.846  1.84
Fe 0.250 0.866 0.020  1.84
Fe 0.250 0.154 0.134  1.84

- calculated total energy (eV per atom) = -6.012
- formation enthalpy at 0 K (kJ/mol of formula units) = -50
- size of the total moment (μB/atom) = 0.7208

Material: CuRu2RhW
Method: DFT, GGA-PBE
State: optimized geometry

a b c (Å): 4.566 4.437 4.566
angles (deg): 90.00 90.00 90.00
Positions (direct):
Ru 0.000 0.000 0.500
Ru 0.500 0.000 0.000
Rh 0.000 0.000 0.000
Cu 0.000 0.500 0.000
W 0.500 0.500 0.500

- calculated total energy (eV per atom) = -6.550
- formation enthalpy at 0 K (kJ/mol of formula units) = 984
- size of the total moment (μB/atom) = 0.0041

Material: Rb2ZrAg2Te4
Method: DFT, GGA-PBE
State: optimized geometry

a b c (Å): 4.385 8.681 8.501
angles (deg): 108.75 104.95 90.00
Positions (direct):
Rb 0.135 0.577 0.270
Rb 0.865 0.423 0.730
Zr 0.000 0.000 0.000
Ag 0.685 0.980 0.370
Ag 0.315 0.020 0.630
Te 0.188 0.190 0.375
Te 0.812 0.810 0.625
Te 0.511 0.772 0.021
Te 0.489 0.228 0.979

- calculated total energy (eV per atom) = -3.919
- size of the total moment (μB/atom) = 0.0000

Material: GaFe2H
Method: DFT, GGA-PBE
State: optimized geometry

a b c (Å): 2.732 2.732 6.224
angles (deg): 77.32 77.32 60.00
Last column: magnetic moment on the atom in μB.
Positions (direct):
Ga 0.500 0.500 0.501  -0.10
Fe 0.055 0.055 0.835  1.93
Fe 0.277 0.277 0.169  1.99
H 0.668 0.668 0.995  -0.02

- energy above the lowest structure with this stoichiometry (eV/atom) = 0.000
- calculated total energy (eV per atom) = -5.886
- size of the total moment (μB/atom) = 0.9337

Material: PrTl2SnTe4
Method: DFT, GGA-PBE
State: optimized geometry

a b c (Å): 4.492 8.371 8.043
angles (deg): 71.46 90.00 90.00
Positions (direct):
Pr 0.000 0.500 0.500
Tl 0.000 0.000 0.000
Tl 0.500 0.000 0.500
Sn 0.500 0.500 0.000
Te 0.000 0.722 0.761
Te 0.000 0.278 0.239
Te 0.500 0.723 0.253
Te 0.500 0.277 0.747

- calculated total energy (eV per atom) = -3.901
- size of the total moment (μB/atom) = 0.0000

- Which of these has the highest size of the total moment?
  GaFe2H

- Which of these has the lowest calculated total energy?
  Tb3TmTh2As6

- Number 10 is which compound?
  Rb2ZrAg2Te4